(1)
Na2YTl9: relaxed, PBE.

Results
Density in Mg/m³: 9.643
Symmetry: P4/mmm (123)
D(E_F) in states/eV/cell: 6.03
Volume in A^3/atom: 28.332
DFT total energy in Ry per atom: -0.194
Energy relative to the elements in eV per atom: -0.108
Total magnetization in μB per cell: 0.00

```
data_Na2YTl9
_chemical_formula_sum 'Na2 Y1 Tl9'
_symmetry_space_group_name_H-M 'P 1'
_symmetry_Int_Tables_number 1
_cell_length_a 4.8096
_cell_length_b 4.8096
_cell_length_c 14.6975
_cell_angle_alpha 90.00
_cell_angle_beta 90.00
_cell_angle_gamma 90.00
loop_
_symmetry_equiv_pos_as_xyz
'x,y,z'
loop_
_atom_site_label
_atom_site_fract_x
_atom_site_fract_y
_atom_site_fract_z
Na1 0.0000 0.0000 0.3265
Na2 0.0000 0.0000 0.6735
Y1 0.0000 0.0000 0.0000
Tl1 0.5000 0.5000 0.0000
Tl2 0.5000 0.5000 0.3295
Tl3 0.5000 0.5000 0.6705
Tl4 0.5000 0.0000 0.1640
Tl5 0.5000 0.0000 0.5000
Tl6 0.5000 0.0000 0.8360
Tl7 0.0000 0.5000 0.1640
Tl8 0.0000 0.5000 0.5000
Tl9 0.0000 0.5000 0.8360
```


(2)
NaY2Tl2: relaxed, PBE.

Results
Density in Mg/m³: 6.964
Energy above the lowest structure with this stoichiometry in meV/atom: 0.0
Symmetry: P4/mbm (127)
D(E_F) in states/eV/cell: 8.37
Volume in A^3/atom: 29.071
DFT total energy in Ry per atom: -0.295
Energy relative to the elements in eV per atom: -0.211
Total magnetization in μB per cell: 0.00

```
data_NaY2Tl2
_chemical_formula_sum 'Na2 Y4 Tl4'
_symmetry_space_group_name_H-M 'P 1'
_symmetry_Int_Tables_number 1
_cell_length_a 8.3005
_cell_length_b 8.3005
_cell_length_c 4.2194
_cell_angle_alpha 90.00
_cell_angle_beta 90.00
_cell_angle_gamma 90.00
loop_
_symmetry_equiv_pos_as_xyz
'x,y,z'
loop_
_atom_site_label
_atom_site_fract_x
_atom_site_fract_y
_atom_site_fract_z
Y1 0.1643 0.6643 0.5000
Y2 0.6643 0.8357 0.5000
Y3 0.8357 0.3357 0.5000
Y4 0.3357 0.1643 0.5000
Na1 0.0000 0.0000 0.0000
Na2 0.5000 0.5000 0.0000
Tl1 0.3635 0.8635 0.0000
Tl2 0.8635 0.6365 0.0000
Tl3 0.6365 0.1365 0.0000
Tl4 0.1365 0.3635 0.0000
```


(3)
Na2YTl2: relaxed, PBE.

Results
Density in Mg/m³: 6.627
Energy above the lowest structure with this stoichiometry in meV/atom: 40.9
Symmetry: P4/mbm (127)
D(E_F) in states/eV/cell: 8.02
Volume in A^3/atom: 27.246
DFT total energy in Ry per atom: -0.205
Energy relative to the elements in eV per atom: -0.028
Total magnetization in μB per cell: 0.47

```
data_Na2YTl2
_chemical_formula_sum 'Na4 Y2 Tl4'
_symmetry_space_group_name_H-M 'P 1'
_symmetry_Int_Tables_number 1
_cell_length_a 8.8235
_cell_length_b 8.8235
_cell_length_c 3.4996
_cell_angle_alpha 90.00
_cell_angle_beta 90.00
_cell_angle_gamma 90.00
loop_
_symmetry_equiv_pos_as_xyz
'x,y,z'
loop_
_atom_site_label
_atom_site_fract_x
_atom_site_fract_y
_atom_site_fract_z
Y1 0.0000 0.0000 0.0000
Y2 0.5000 0.5000 0.0000
Na1 0.3851 0.8851 0.0000
Na2 0.8851 0.6149 0.0000
Na3 0.6149 0.1149 0.0000
Na4 0.1149 0.3851 0.0000
Tl1 0.1878 0.6878 0.5000
Tl2 0.6878 0.8122 0.5000
Tl3 0.8122 0.3122 0.5000
Tl4 0.3122 0.1878 0.5000
```